[1]
Material: Ca4Ta2O9
Method: DFT, GGA-PBE
State: relaxed

Lattice parameters (Å, degrees): 9.9073 5.5713 17.2260 90.00 124.13 90.00
Space group P2_1/c (No. 14)
One atom of each set of equivalent atoms:
Ca (0.0000, 0.0000, 0.0000)
Ca (0.0477, 0.0196, 0.3942)
Ca (0.2850, 0.5031, 0.7705)
Ca (0.3789, 0.0172, 0.0732)
Ca (0.5000, 0.0000, 0.5000)
Ta (0.1743, 0.5087, 0.3361)
Ta (0.3314, 0.5098, 0.1641)
O (0.0457, 0.6994, 0.7499)
O (0.1236, 0.6159, 0.4241)
O (0.1733, 0.1712, 0.5528)
O (0.1977, 0.7040, 0.6291)
O (0.2232, 0.0924, 0.7344)
O (0.2641, 0.2104, 0.4034)
O (0.3783, 0.6787, 0.3981)
O (0.4435, 0.6177, 0.1070)
O (0.4800, 0.2095, 0.2182)

Size of the total moment = 0.0 μB per formula unit
Raw formation energy = -3.0689 eV per atom

[2]
Material: LaCS2Cl
Method: DFT, GGA-PBE
State: relaxed

Lattice parameters (Å, degrees): 4.4209 4.4209 4.4956 90.00 90.00 90.00
Space group P4/mmm (No. 123)
One atom of each set of equivalent atoms:
La (0.0000, 0.0000, 0.0000)
C (0.5000, 0.5000, 0.5000)
S (0.0000, 0.5000, 0.5000)
Cl (0.5000, 0.5000, 0.0000)

Size of the total moment = 0.3 μB per formula unit
Raw formation energy = -0.1939 eV per atom

> The highest raw formation energy belongs to which entry?

LaCS2Cl

> size of the total moment of number 1 (Ca4Ta2O9)?

0.0 μB per formula unit

> The highest size of the total moment belongs to which entry?

LaCS2Cl

> What is the formula in the second record?

LaCS2Cl